Entry from Alexandria: an optimized crystal structure of K2InTc (GGA-PBE).

a b c (Å): 12.340 12.340 9.117
angles (deg): 47.41 47.41 90.00
Last column: magnetic moment on the atom in μB.
Atoms (fractional coordinates):
K 0.466 0.125 0.250  0.00
K 0.284 0.625 0.250  0.00
K 0.375 0.534 0.750  0.00
K 0.875 0.716 0.750  0.00
Tc 0.500 0.500 0.000  2.24
Tc 0.250 0.750 0.500  2.25
In 0.000 0.000 0.000  -0.10
In 0.750 0.250 0.500  -0.10

Calculated values
As for the density: 2.40 g/cm3. The calculated volume is 50.28 A^3/atom. Its energy of formation from the pure elements is 3.8 eV per formula unit.